! SrCa3Mn4O12 PBE with a Hubbard U optimized geometry; values from VASP
! SG	P4/mmm (123)
! magnetization	13.07	μB per cell
! ΔE to the lowest computed polymorph	0.0590	eV/atom
! electronic total energy	-136.996	eV per cell
! calculated volume	224.4	Å³ per cell
&SYSTEM
  ibrav = 0, nat = 20, ntyp = 4
/
ATOMIC_SPECIES
Sr 87.62 Sr.upf
Ca 40.08 Ca.upf
Mn 54.94 Mn.upf
O 16.00 O.upf
ATOMIC_POSITIONS angstrom
Sr 1.912 1.912 0.000
Ca 1.912 1.912 3.839
Ca 1.912 1.912 7.674
Ca 1.912 1.912 11.509
Mn 0.000 0.000 13.400
Mn 0.000 0.000 1.948
Mn 0.000 0.000 5.765
Mn 0.000 0.000 9.583
O 0.000 0.000 0.000
O 0.000 0.000 3.873
O 0.000 0.000 7.674
O 0.000 0.000 11.475
O 1.912 0.000 13.343
O 1.912 0.000 2.005
O 1.912 0.000 5.787
O 1.912 0.000 9.561
O 0.000 1.912 13.343
O 0.000 1.912 2.005
O 0.000 1.912 5.787
O 0.000 1.912 9.561
CELL_PARAMETERS angstrom
3.823 0.000 0.000
0.000 3.823 0.000
0.000 0.000 15.348